# ErNbAl2O8 | Alexandria via LeMat-Bulk | GGA-PBE | relaxed
data_ErNbAl2O8
_chemical_formula_sum 'Er2 Nb2 Al4 O16'
_space_group_name_H-M_alt 'I -4 m 2'
_space_group_IT_number 119
_space_group_name_Hall 'I -4 -2'
_cell_length_a 6.756
_cell_length_b 6.756
_cell_length_c 6.349
_cell_angle_alpha 90.00
_cell_angle_beta 90.00
_cell_angle_gamma 90.00
loop_
_atom_site_label
_atom_site_type_symbol
_atom_site_fract_x
_atom_site_fract_y
_atom_site_fract_z
_atom_site_occupancy
Er1 Er 0.000 0.000 0.000 1
Nb1 Nb 0.000 0.500 0.750 1
Al1 Al 0.000 0.000 0.500 1
Al2 Al 0.000 0.500 0.250 1
O1 O 0.000 0.204 0.674 1
O2 O 0.000 0.321 0.051 1
# * density: 5.1 g/cm³
# * E_tot: -7.6385 eV/atom
# * volume: 12.077 A^3/atom

# ErPaNbAl | Alexandria via LeMat-Bulk | GGA-PBE | relaxed
data_ErPaNbAl
_chemical_formula_sum 'Er4 Pa4 Nb4 Al4'
_space_group_name_H-M_alt 'F -4 3 m'
_space_group_IT_number 216
_space_group_name_Hall 'F -4 2 3'
_cell_length_a 7.000
_cell_length_b 7.000
_cell_length_c 7.000
_cell_angle_alpha 90.00
_cell_angle_beta 90.00
_cell_angle_gamma 90.00
loop_
_atom_site_label
_atom_site_type_symbol
_atom_site_fract_x
_atom_site_fract_y
_atom_site_fract_z
_atom_site_occupancy
Er1 Er 0.000 0.000 0.000 1
Pa1 Pa 0.250 0.250 0.750 1
Nb1 Nb 0.000 0.000 0.500 1
Al1 Al 0.250 0.250 0.250 1
# * density: 10.0 g/cm³
# * E_tot: -6.8800 eV/atom
# * volume: 21.439 A^3/atom
# * energy of formation from the pure elements: 87.7 meV/atom

# Nd2ErAl | Alexandria via LeMat-Bulk | GGA-PBE | relaxed
data_Nd2ErAl
_chemical_formula_sum 'Nd8 Er4 Al4'
_space_group_name_H-M_alt 'A m m 2'
_space_group_IT_number 38
_space_group_name_Hall 'A 2 -2'
_cell_length_a 5.349
_cell_length_b 6.984
_cell_length_c 12.183
_cell_angle_alpha 90.00
_cell_angle_beta 90.00
_cell_angle_gamma 90.00
loop_
_atom_site_label
_atom_site_type_symbol
_atom_site_fract_x
_atom_site_fract_y
_atom_site_fract_z
_atom_site_occupancy
Nd1 Nd 0.000 0.000 0.000 1
Nd2 Nd 0.000 0.232 0.235 1
Nd3 Nd 0.500 0.000 0.646 1
Er1 Er 0.500 0.234 0.409 1
Al1 Al 0.000 0.000 0.484 1
Al2 Al 0.500 0.000 0.157 1
# * density: 7.0 g/cm³
# * E_tot: -4.6351 eV/atom
# * excess energy over the best structure of this formula in the dataset: 0 meV per atom
# * volume: 28.444 A^3/atom
# * energy of formation from the pure elements: -174.9 meV/atom

# Nd15Er4Al | Alexandria via LeMat-Bulk | GGA-PBE | relaxed
data_Nd15Er4Al
_chemical_formula_sum 'Nd15 Er4 Al1'
_space_group_name_H-M_alt 'P 4/m m m'
_space_group_IT_number 123
_space_group_name_Hall '-P 4 2'
_cell_length_a 5.087
_cell_length_b 5.087
_cell_length_c 25.591
_cell_angle_alpha 90.00
_cell_angle_beta 90.00
_cell_angle_gamma 90.00
loop_
_atom_site_label
_atom_site_type_symbol
_atom_site_fract_x
_atom_site_fract_y
_atom_site_fract_z
_atom_site_occupancy
Nd1 Nd 0.000 0.000 0.000 1
Nd2 Nd 0.000 0.000 0.196 1
Nd3 Nd 0.000 0.000 0.399 1
Nd4 Nd 0.000 0.500 0.094 1
Nd5 Nd 0.000 0.500 0.297 1
Nd6 Nd 0.000 0.500 0.500 1
Er1 Er 0.500 0.500 0.196 1
Er2 Er 0.500 0.500 0.399 1
Al1 Al 0.500 0.500 0.000 1
# * density: 7.2 g/cm³
# * E_tot: -4.6890 eV/atom
# * volume: 33.108 A^3/atom
# * energy of formation from the pure elements: -13.4 meV/atom

# NdEr2Al6 | Alexandria via LeMat-Bulk | GGA-PBE | relaxed
data_NdEr2Al6
_chemical_formula_sum 'Nd2 Er4 Al12'
_space_group_name_H-M_alt 'I m m m'
_space_group_IT_number 71
_space_group_name_Hall '-I 2 2'
_cell_length_a 4.398
_cell_length_b 7.194
_cell_length_c 13.414
_cell_angle_alpha 90.00
_cell_angle_beta 90.00
_cell_angle_gamma 90.00
loop_
_atom_site_label
_atom_site_type_symbol
_atom_site_fract_x
_atom_site_fract_y
_atom_site_fract_z
_atom_site_occupancy
Nd1 Nd 0.000 0.000 0.000 1
Er1 Er 0.000 0.500 0.124 1
Al1 Al 0.000 0.183 0.500 1
Al2 Al 0.000 0.304 0.314 1
# * density: 5.0 g/cm³
# * E_tot: -4.3018 eV/atom
# * excess energy over the best structure of this formula in the dataset: 214 meV per atom
# * volume: 23.578 A^3/atom
# * energy of formation from the pure elements: -263.1 meV/atom

# Nd2ErAl | Alexandria via LeMat-Bulk | GGA-PBE | relaxed
data_Nd2ErAl
_chemical_formula_sum 'Nd2 Er1 Al1'
_space_group_name_H-M_alt 'P 4/m m m'
_space_group_IT_number 123
_space_group_name_Hall '-P 4 2'
_cell_length_a 3.572
_cell_length_b 3.572
_cell_length_c 9.272
_cell_angle_alpha 90.00
_cell_angle_beta 90.00
_cell_angle_gamma 90.00
loop_
_atom_site_label
_atom_site_type_symbol
_atom_site_fract_x
_atom_site_fract_y
_atom_site_fract_z
_atom_site_occupancy
Nd1 Nd 0.000 0.000 0.217 1
Er1 Er 0.500 0.500 0.500 1
Al1 Al 0.500 0.500 0.000 1
# * density: 6.8 g/cm³
# * E_tot: -4.5937 eV/atom
# * excess energy over the best structure of this formula in the dataset: 41 meV per atom
# * volume: 29.571 A^3/atom
# * energy of formation from the pure elements: -133.4 meV/atom

# Nd4ErAl5 | Alexandria via LeMat-Bulk | GGA-PBE | relaxed
data_Nd4ErAl5
_chemical_formula_sum 'Nd4 Er1 Al5'
_space_group_name_H-M_alt 'P 4/m m m'
_space_group_IT_number 123
_space_group_name_Hall '-P 4 2'
_cell_length_a 3.694
_cell_length_b 3.694
_cell_length_c 18.515
_cell_angle_alpha 90.00
_cell_angle_beta 90.00
_cell_angle_gamma 90.00
loop_
_atom_site_label
_atom_site_type_symbol
_atom_site_fract_x
_atom_site_fract_y
_atom_site_fract_z
_atom_site_occupancy
Nd1 Nd 0.000 0.000 0.102 1
Nd2 Nd 0.000 0.000 0.306 1
Er1 Er 0.000 0.000 0.500 1
Al1 Al 0.500 0.500 0.000 1
Al2 Al 0.500 0.500 0.204 1
Al3 Al 0.500 0.500 0.411 1
# * density: 5.8 g/cm³
# * E_tot: -4.5964 eV/atom
# * volume: 25.261 A^3/atom
# * energy of formation from the pure elements: -361.7 meV/atom

# NdErAl | Alexandria via LeMat-Bulk | GGA-PBE | relaxed
data_NdErAl
_chemical_formula_sum 'Nd2 Er2 Al2'
_space_group_name_H-M_alt 'I 4 m m'
_space_group_IT_number 107
_space_group_name_Hall 'I 4 -2'
_cell_length_a 3.482
_cell_length_b 3.482
_cell_length_c 13.633
_cell_angle_alpha 90.00
_cell_angle_beta 90.00
_cell_angle_gamma 90.00
loop_
_atom_site_label
_atom_site_type_symbol
_atom_site_fract_x
_atom_site_fract_y
_atom_site_fract_z
_atom_site_occupancy
Nd1 Nd 0.000 0.000 0.000 1
Er1 Er 0.000 0.000 0.295 1
Al1 Al 0.000 0.000 0.655 1
# * density: 6.8 g/cm³
# * E_tot: -4.5824 eV/atom
# * excess energy over the best structure of this formula in the dataset: 3 meV per atom
# * volume: 27.542 A^3/atom
# * energy of formation from the pure elements: -224.6 meV/atom

# NdErAl | Alexandria via LeMat-Bulk | GGA-PBE | relaxed
data_NdErAl
_chemical_formula_sum 'Nd1 Er1 Al1'
_space_group_name_H-M_alt 'P 3 m 1'
_space_group_IT_number 156
_space_group_name_Hall 'P 3 -2"'
_cell_length_a 5.1087
_cell_length_b 5.1087
_cell_length_c 3.6479
_cell_angle_alpha 90.00
_cell_angle_beta 90.00
_cell_angle_gamma 120.00
loop_
_atom_site_label
_atom_site_type_symbol
_atom_site_fract_x
_atom_site_fract_y
_atom_site_fract_z
_atom_site_occupancy
Nd1 Nd 0.0000 0.0000 0.0000 1
Er1 Er 0.3333 0.6667 0.4432 1
Al1 Al 0.6667 0.3333 0.6520 1
# * density: 6.8 g/cm³
# * E_tot: -4.4966 eV/atom
# * excess energy over the best structure of this formula in the dataset: 88 meV per atom
# * volume: 27.483 A^3/atom
# * energy of formation from the pure elements: -138.8 meV/atom

# Nd2Er2Al | Alexandria via LeMat-Bulk | GGA-PBE | relaxed
data_Nd2Er2Al
_chemical_formula_sum 'Nd4 Er4 Al2'
_space_group_name_H-M_alt 'I 4/m m m'
_space_group_IT_number 139
_space_group_name_Hall '-I 4 2'
_cell_length_a 3.538
_cell_length_b 3.538
_cell_length_c 23.580
_cell_angle_alpha 90.00
_cell_angle_beta 90.00
_cell_angle_gamma 90.00
loop_
_atom_site_label
_atom_site_type_symbol
_atom_site_fract_x
_atom_site_fract_y
_atom_site_fract_z
_atom_site_occupancy
Nd1 Nd 0.000 0.000 0.191 1
Er1 Er 0.000 0.000 0.420 1
Al1 Al 0.000 0.000 0.000 1
# * density: 7.3 g/cm³
# * E_tot: -4.6335 eV/atom
# * excess energy over the best structure of this formula in the dataset: 0 meV per atom
# * volume: 29.510 A^3/atom
# * energy of formation from the pure elements: -152.7 meV/atom

# NdEr5Al6 | Alexandria via LeMat-Bulk | GGA-PBE | relaxed
data_NdEr5Al6
_chemical_formula_sum 'Nd1 Er5 Al6'
_space_group_name_H-M_alt 'P 1 2/m 1'
_space_group_IT_number 10
_space_group_name_Hall '-P 2y'
_cell_length_a 5.076
_cell_length_b 7.199
_cell_length_c 8.027
_cell_angle_alpha 90.00
_cell_angle_beta 108.25
_cell_angle_gamma 90.00
loop_
_atom_site_label
_atom_site_type_symbol
_atom_site_fract_x
_atom_site_fract_y
_atom_site_fract_z
_atom_site_occupancy
Nd1 Nd 0.000 0.000 0.000 1
Er1 Er 0.000 0.500 0.000 1
Er2 Er 0.332 0.000 0.664 1
Er3 Er 0.337 0.500 0.673 1
Al1 Al 0.170 0.257 0.340 1
Al2 Al 0.500 0.255 0.000 1
# * density: 6.8 g/cm³
# * E_tot: -4.5544 eV/atom
# * volume: 23.213 A^3/atom
# * energy of formation from the pure elements: -384.6 meV/atom

# Nd3ErAl | Alexandria via LeMat-Bulk | GGA-PBE | relaxed
data_Nd3ErAl
_chemical_formula_sum 'Nd6 Er2 Al2'
_space_group_name_H-M_alt 'P m m n'
_space_group_IT_number 59
_cell_length_a 5.294
_cell_length_b 7.945
_cell_length_c 7.424
_cell_angle_alpha 90.00
_cell_angle_beta 90.00
_cell_angle_gamma 90.00
loop_
_space_group_symop_operation_xyz
'x,y,z'
'-x,-y,-z'
'-x+1/2,-y+1/2,z'
'x+1/2,y+1/2,-z'
'x+1/2,-y,-z'
'-x+1/2,y,z'
'-x,y+1/2,-z'
'x,-y+1/2,z'
loop_
_atom_site_label
_atom_site_type_symbol
_atom_site_fract_x
_atom_site_fract_y
_atom_site_fract_z
_atom_site_occupancy
Nd1 Nd 0.250 0.054 0.209 1
Nd2 Nd 0.250 0.250 0.736 1
Er1 Er 0.250 0.750 0.560 1
Al1 Al 0.250 0.750 0.955 1
# * density: 6.7 g/cm³
# * E_tot: -4.5771 eV/atom
# * excess energy over the best structure of this formula in the dataset: 61 meV per atom
# * volume: 31.225 A^3/atom
# * energy of formation from the pure elements: -55.3 meV/atom

- Which value of volume does entry 6 give?
  29.571 A^3/atom